# ThNiO

ThNiO after structural relaxation (PBE+U, Alexandria).

```
data_ThNiO
_cell_length_a 16.0682
_cell_length_b 3.4702
_cell_length_c 7.3890
_cell_angle_alpha 90.00
_cell_angle_beta 92.03
_cell_angle_gamma 90.00
_symmetry_space_group_name_H-M 'C 1 2/m 1'
_symmetry_Int_Tables_number 12
_symmetry_space_group_name_Hall '-C 2y'
loop_
_atom_site_label
_atom_site_type_symbol
_atom_site_fract_x
_atom_site_fract_y
_atom_site_fract_z
Th1 Th 0.1049 0.0000 0.3887
Th2 Th 0.1170 0.0000 0.9183
Ni1 Ni 0.2439 0.5000 0.8624
Ni2 Ni 0.2485 0.0000 0.6211
O1 O 0.0421 0.0000 0.6576
O2 O 0.0789 0.5000 0.1300
```

Calculated values
* E_tot: -6.182 eV/atom